! ZnPd3Pt12 GGA-PBE optimized geometry; values from VASP
! Theoretical density   18.3 g/cm³
! DOS(E_F)   26.5 states/eV per cell
! Space group   P4/mmm (123)
! Formation enthalpy at 0 K   -0.113 eV/atom
! V   247.3 Å³/cell
! Uncorrected energy   -91.15 eV per formula unit
&SYSTEM
  ibrav = 0, nat = 16, ntyp = 3
/
ATOMIC_SPECIES
Zn 65.41 Zn.upf
Pd 106.42 Pd.upf
Pt 195.08 Pt.upf
CELL_PARAMETERS angstrom
3.9401 0.0000 0.0000
0.0000 3.9401 0.0000
0.0000 0.0000 15.9291
ATOMIC_POSITIONS crystal
Zn 0.0000 0.0000 0.0000
Pd 0.0000 0.0000 0.2487
Pd 0.0000 0.0000 0.5000
Pd 0.0000 0.0000 0.7513
Pt 0.0000 0.5000 0.1220
Pt 0.0000 0.5000 0.3745
Pt 0.0000 0.5000 0.6255
Pt 0.0000 0.5000 0.8780
Pt 0.5000 0.0000 0.1220
Pt 0.5000 0.0000 0.3745
Pt 0.5000 0.0000 0.6255
Pt 0.5000 0.0000 0.8780
Pt 0.5000 0.5000 0.0000
Pt 0.5000 0.5000 0.2479
Pt 0.5000 0.5000 0.5000
Pt 0.5000 0.5000 0.7521

---

! Zn6PdPt8 GGA-PBE optimized geometry; values from VASP
! Theoretical density   14.3 g/cm³
! DOS(E_F)   6.2 states/eV per cell
! Space group   R-3 (148)
! Formation enthalpy at 0 K   -0.323 eV/atom
! V   240.0 Å³/cell
! Uncorrected energy   -66.00 eV per formula unit
&SYSTEM
  ibrav = 0, nat = 15, ntyp = 3
/
ATOMIC_SPECIES
Zn 65.41 Zn.upf
Pd 106.42 Pd.upf
Pt 195.08 Pt.upf
CELL_PARAMETERS angstrom
3.6481 2.1062 5.2056
-3.6481 2.1062 5.2056
0.0000 -4.2125 5.2056
ATOMIC_POSITIONS crystal
Zn 0.1111 0.7754 0.4408
Zn 0.2246 0.5592 0.8889
Zn 0.4408 0.1111 0.7754
Zn 0.5592 0.8889 0.2246
Zn 0.7754 0.4408 0.1111
Zn 0.8889 0.2246 0.5592
Pd 0.5000 0.5000 0.5000
Pt 0.0509 0.3891 0.7203
Pt 0.1672 0.1672 0.1672
Pt 0.2797 0.9491 0.6109
Pt 0.3891 0.7203 0.0509
Pt 0.6109 0.2797 0.9491
Pt 0.7203 0.0509 0.3891
Pt 0.8328 0.8328 0.8328
Pt 0.9491 0.6109 0.2797